[1]
Compound: SmDy3Al4
Source: Alexandria
Functional: PBE-GGA
Structure: optimized geometry

Values from the calculation:
energy relative to the elements = -301 kJ/mol of formula units
D(E_F) = 3.4 states/eV per cell

Lattice parameters (Å, degrees): 5.112 5.112 7.262 90.00 90.00 90.00
Space group P4/mmm (No. 123)
Symmetry-distinct sites (fractional):
Sm1 0.000 0.000 0.000
Dy1 0.000 0.000 0.500
Dy2 0.500 0.500 0.000
Dy3 0.500 0.500 0.500
Al1 0.000 0.500 0.255

---

[2]
Compound: Nd4TlHgN
Source: Alexandria
Functional: PBE-GGA
Structure: optimized geometry

Values from the calculation:
E_form (uncorrected) = -0.617 eV per atom
D(E_F) = 10.1 states/eV per cell

Lattice parameters (Å, degrees): 7.160 15.397 7.162 90.00 90.00 90.00
Space group Cmcm (No. 63)
Symmetry-distinct sites (fractional):
Nd1 0.000 0.080 0.250
Nd2 0.000 0.414 0.250
Nd3 0.250 0.250 0.000
Tl1 0.000 0.381 0.750
Hg1 0.000 0.120 0.750
N1 0.000 0.250 0.250

---

[3]
Compound: ZnReHg4
Source: Alexandria
Functional: PBE-GGA
Structure: optimized geometry

Values from the calculation:
energy relative to the elements = 630 kJ/mol of formula units
D(E_F) = 19.9 states/eV per cell

Lattice parameters (Å, degrees): 8.120 8.120 8.120 90.00 90.00 90.00
Space group F-43m (No. 216)
Symmetry-distinct sites (fractional):
Zn1 0.000 0.000 0.000
Re1 0.250 0.250 0.250
Hg1 0.125 0.125 0.625

---

[4]
Compound: Pm2PuGaN5
Source: Alexandria
Functional: PBE-GGA
Structure: optimized geometry

Values from the calculation:
E_form (uncorrected) = -0.956 eV per atom
D(E_F) = 14.4 states/eV per cell

Lattice parameters (Å, degrees): 3.412 13.979 10.349 90.00 90.00 90.00
Space group Cmc2_1 (No. 36)
Symmetry-distinct sites (fractional):
Pm1 0.000 0.107 0.000
Pm2 0.000 0.127 0.604
Pu1 0.000 0.213 0.315
Ga1 0.000 0.483 0.773
N1 0.000 0.057 0.351
N2 0.000 0.282 0.947
N3 0.000 0.299 0.684
N4 0.000 0.364 0.308
N5 0.000 0.498 0.088

---

[5]
Compound: NaPm2Sn9
Source: Alexandria
Functional: PBE-GGA
Structure: optimized geometry

Values from the calculation:
energy relative to the elements = -428 kJ/mol of formula units
D(E_F) = 5.3 states/eV per cell

Lattice parameters (Å, degrees): 4.709 4.709 14.524 90.00 90.00 90.00
Space group P4/mmm (No. 123)
Symmetry-distinct sites (fractional):
Na1 0.000 0.000 0.000
Pm1 0.000 0.000 0.338
Sn1 0.000 0.500 0.164
Sn2 0.000 0.500 0.500
Sn3 0.500 0.500 0.000
Sn4 0.500 0.500 0.329

---

[6]
Compound: Co2SiRh
Source: Alexandria
Functional: PBE-GGA
Structure: optimized geometry

Values from the calculation:
E_form (uncorrected) = -0.326 eV per atom
D(E_F) = 7.4 states/eV per cell

Lattice parameters (Å, degrees): 2.754 4.107 8.395 90.00 90.00 90.00
Space group Immm (No. 71)
Symmetry-distinct sites (fractional):
Co1 0.000 0.000 0.224
Si1 0.000 0.500 0.500
Rh1 0.000 0.500 0.000

---

[7]
Compound: Pr2Ga4SiPd3
Source: Alexandria
Functional: PBE-GGA
Structure: optimized geometry

Values from the calculation:
E_form (uncorrected) = -0.718 eV per atom
D(E_F) = 8.3 states/eV per cell

Lattice parameters (Å, degrees): 4.291 4.291 10.577 90.00 90.00 90.00
Space group P-4m2 (No. 115)
Symmetry-distinct sites (fractional):
Pr1 0.000 0.500 0.249
Ga1 0.000 0.000 0.000
Ga2 0.000 0.500 0.636
Ga3 0.500 0.500 0.000
Si1 0.000 0.000 0.500
Pd1 0.000 0.500 0.870
Pd2 0.500 0.500 0.500

---

[8]
Compound: Tb2Ga3Pd
Source: Alexandria
Functional: PBE-GGA
Structure: optimized geometry

Values from the calculation:
energy relative to the elements = -448 kJ/mol of formula units
D(E_F) = 5.9 states/eV per cell

Lattice parameters (Å, degrees): 10.359 4.451 7.188 90.00 132.47 90.00
Space group Cm (No. 8)
Symmetry-distinct sites (fractional):
Tb1 0.000 0.000 0.000
Tb2 0.084 0.000 0.590
Ga1 0.199 0.500 0.998
Ga2 0.205 0.500 0.405
Ga3 0.377 0.000 0.193
Pd1 0.374 0.000 0.580

---

Among the records above, which one has the highest D(E_F)? ZnReHg4

---

Which formula does entry 8 have? Tb2Ga3Pd

---

Which formula does entry 7 have? Pr2Ga4SiPd3